The following is a PBE calculation of a relaxed structure of UTlGe, from OQMD.

Results
Energy above the lowest structure with this stoichiometry (meV/atom): 0
Crystal system: cubic
Raw total energy (eV per formula unit): -17.0
Spin magnetization (μB per formula unit): 3.4
Calculated density (Mg/m³): 10.7

a = 6.840 Å, b = 6.840 Å, c = 6.840 Å
α = 90.00°, β = 90.00°, γ = 90.00°
Space group F-43m (No. 216)
Unique sites:
U 0.000 0.000 0.000 [4 per cell]
Tl 0.000 0.000 0.500 [4 per cell]
Ge 0.250 0.250 0.750 [4 per cell]


The following is a PBE calculation of a relaxed structure of TlGe5W3, from OQMD.

Results
Crystal system: hexagonal
Raw total energy (eV per formula unit): -61.7
Spin magnetization (μB per formula unit): 0.0
Calculated density (Mg/m³): 9.2

a = 5.3386 Å, b = 5.3386 Å, c = 8.1404 Å
α = 90.00°, β = 90.00°, γ = 120.00°
Space group P6/mmm (No. 191)
Unique sites:
Tl 0.0000 0.0000 0.0000 [1 per cell]
Ge 0.0000 0.0000 0.5000 [1 per cell]
Ge 0.3333 0.6667 0.2217 [4 per cell]
W 0.0000 0.5000 0.5000 [3 per cell]


The following is a PBE calculation of a relaxed structure of Tl2ZnGe, from OQMD.

Results
Crystal system: cubic
Raw total energy (eV per formula unit): -9.5
Calculated density (Mg/m³): 9.2

a = 7.334 Å, b = 7.334 Å, c = 7.334 Å
α = 90.00°, β = 90.00°, γ = 90.00°
Space group F-43m (No. 216)
Unique sites:
Tl 0.000 0.000 0.000 [4 per cell]
Tl 0.250 0.250 0.250 [4 per cell]
Zn 0.250 0.250 0.750 [4 per cell]
Ge 0.000 0.000 0.500 [4 per cell]